Material: BaTe2N2
Method: DFT, PBEsol
State: optimized geometry

E_form (uncorrected)   1.457 eV/atom
Energy relative to the lowest polymorph listed for this composition   1121 meV/atom
V   29.7 Å³ per atom
SG   P4/mmm (123)

Geometry as CIF:
```
data_BaTe2N2
_chemical_formula_sum 'Ba1 Te2 N2'
_cell_length_a 4.580
_cell_length_b 4.580
_cell_length_c 7.080
_cell_angle_alpha 90.00
_cell_angle_beta 90.00
_cell_angle_gamma 90.00
_symmetry_space_group_name_H-M 'P 1'
_symmetry_Int_Tables_number 1
loop_
_symmetry_equiv_pos_as_xyz
'x,y,z'
loop_
_atom_site_label
_atom_site_type_symbol
_atom_site_fract_x
_atom_site_fract_y
_atom_site_fract_z
_atom_site_occupancy
Ba1 Ba 0.000 0.000 0.000 1
Te1 Te 0.000 0.000 0.500 1
Te2 Te 0.500 0.500 0.500 1
N1 N 0.000 0.500 0.000 1
N2 N 0.500 0.000 0.000 1
```